Compound: ZnCrO4
Source: Alexandria
Functional: GGA+U
Structure: relaxed

Values from the calculation:
Total DFT energy (no corrections) = -6.015 eV per atom
Volume = 19.30 Å³ per atom
E above lowest polymorph = 0.002 eV/atom
Magnetization = 0.0 μB per formula unit

Unit cell a=5.6076 b=5.6076 c=5.6076 alpha=124.20 beta=124.20 gamma=82.86
Last column: nearest neighbours and their distance in Å.
Atoms (fractional coordinates):
Zn (0.0000, 0.0000, 0.0000)  4 O 1.94
Cr (0.7500, 0.2500, 0.5000)  4 O 1.67
O (0.4081, 0.2614, 0.3962)  1 Cr 1.67
O (0.7386, 0.1349, 0.1467)  1 Cr 1.67
O (0.8651, 0.0119, 0.6038)  1 Cr 1.67
O (0.9881, 0.5919, 0.8533)  1 Cr 1.67